NdPd8Pt4: optimized geometry, PBE-GGA.

```
data_NdPd8Pt4
_chemical_formula_sum 'Nd1 Pd8 Pt4'
_symmetry_space_group_name_H-M 'P 1'
_symmetry_Int_Tables_number 1
_symmetry_space_group_name_Hall 'P 1'
_cell_length_a 5.312
_cell_length_b 6.993
_cell_length_c 6.993
_cell_angle_alpha 81.70
_cell_angle_beta 67.68
_cell_angle_gamma 67.68
loop_
_atom_site_label
_atom_site_type_symbol
_atom_site_fract_x
_atom_site_fract_y
_atom_site_fract_z
_atom_site_occupancy
Nd1 Nd 0.000 0.000 0.000 1
Pd1 Pd 0.000 0.347 0.653 1
Pd2 Pd 0.000 0.653 0.347 1
Pd3 Pd 0.347 0.653 0.653 1
Pd4 Pd 0.653 0.347 0.347 1
Pd5 Pd 0.500 0.781 0.219 1
Pd6 Pd 0.500 0.219 0.781 1
Pd7 Pd 0.281 0.219 0.219 1
Pd8 Pd 0.719 0.781 0.781 1
Pt1 Pt 0.000 0.000 0.500 1
Pt2 Pt 0.500 0.000 0.500 1
Pt3 Pt 0.000 0.500 0.000 1
Pt4 Pt 0.500 0.500 0.000 1
```

Results
The calculated density is 13.3 g cm⁻³. The total magnetization comes out at 0.0000 μB per atom. The raw total energy comes out at -5.714 eV per atom. The space-group type is No. 139.

Ho2Ga2Pb: optimized geometry, PBE-GGA.

```
data_Ho2Ga2Pb
_chemical_formula_sum 'Ho2 Ga2 Pb1'
_symmetry_space_group_name_H-M 'P 1'
_symmetry_Int_Tables_number 1
_symmetry_space_group_name_Hall 'P 1'
_cell_length_a 3.517
_cell_length_b 4.390
_cell_length_c 7.893
_cell_angle_alpha 106.14
_cell_angle_beta 90.00
_cell_angle_gamma 90.00
loop_
_atom_site_label
_atom_site_type_symbol
_atom_site_fract_x
_atom_site_fract_y
_atom_site_fract_z
_atom_site_occupancy
Ho1 Ho 0.500 0.627 0.254 1
Ho2 Ho 0.500 0.373 0.746 1
Ga1 Ga 0.000 0.204 0.408 1
Ga2 Ga 0.000 0.796 0.592 1
Pb1 Pb 0.000 0.000 0.000 1
```

Results
The calculated density is 9.6 g cm⁻³. The total magnetization comes out at 0.0000 μB per atom. The raw total energy comes out at -4.338 eV per atom. The relative energy among the computed polymorphs is 0.0000 eV/atom. The space-group type is No. 65.

TaTlO3: optimized geometry, PBE-GGA.

```
data_TaTlO3
_chemical_formula_sum 'Ta4 Tl4 O12'
_symmetry_space_group_name_H-M 'P 1'
_symmetry_Int_Tables_number 1
_symmetry_space_group_name_Hall 'P 1'
_cell_length_a 7.615
_cell_length_b 7.615
_cell_length_c 7.615
_cell_angle_alpha 60.00
_cell_angle_beta 60.00
_cell_angle_gamma 60.00
loop_
_atom_site_label
_atom_site_type_symbol
_atom_site_fract_x
_atom_site_fract_y
_atom_site_fract_z
_atom_site_occupancy
Ta1 Ta 0.125 0.125 0.125 1
Ta2 Ta 0.625 0.125 0.125 1
Ta3 Ta 0.125 0.625 0.125 1
Ta4 Ta 0.125 0.125 0.625 1
Tl1 Tl 0.625 0.625 0.125 1
Tl2 Tl 0.625 0.625 0.625 1
Tl3 Tl 0.625 0.125 0.625 1
Tl4 Tl 0.125 0.625 0.625 1
O1 O 0.065 0.435 0.435 1
O2 O 0.815 0.815 0.185 1
O3 O 0.815 0.185 0.185 1
O4 O 0.435 0.065 0.435 1
O5 O 0.065 0.435 0.065 1
O6 O 0.065 0.065 0.435 1
O7 O 0.185 0.185 0.815 1
O8 O 0.185 0.815 0.185 1
O9 O 0.815 0.185 0.815 1
O10 O 0.435 0.065 0.065 1
O11 O 0.435 0.435 0.065 1
O12 O 0.185 0.815 0.815 1
```

Results
The calculated density is 9.2 g cm⁻³. The total magnetization comes out at 0.0000 μB per atom. The raw total energy comes out at -8.085 eV per atom. The space-group type is No. 227.